(1)
# PBE HoGa4Pd2Ru, relaxed
# Calculated density   9.27 g/cm3
# Crystal system   trigonal
# E   -5.1143 eV/atom
# Formation energy from the elements   -0.571 eV/atom
data_HoGa4Pd2Ru
_cell_length_a 4.2634
_cell_length_b 4.2634
_cell_length_c 25.8702
_cell_angle_alpha 90.00
_cell_angle_beta 90.00
_cell_angle_gamma 120.00
_space_group_name_H-M_alt 'R -3 m'
_space_group_IT_number 166
_space_group_name_Hall '-R 3 2"'
loop_
_atom_site_label
_atom_site_type_symbol
_atom_site_fract_x
_atom_site_fract_y
_atom_site_fract_z
Ho1 Ho 0.0000 0.0000 0.0000
Ga1 Ga 0.0000 0.0000 0.1332
Ga2 Ga 0.0000 0.0000 0.3980
Pd1 Pd 0.0000 0.0000 0.2388
Ru1 Ru 0.0000 0.0000 0.5000

(2)
# PBE SmZn2SiIr, relaxed
# Calculated density   9.37 g/cm3
# Crystal system   orthorhombic
# E   -4.8470 eV/atom
# Uncorrected formation energy   -0.537 eV per atom
data_SmZn2SiIr
_cell_length_a 3.9076
_cell_length_b 4.2010
_cell_length_c 10.8293
_cell_angle_alpha 90.00
_cell_angle_beta 90.00
_cell_angle_gamma 90.00
_space_group_name_H-M_alt 'I m m 2'
_space_group_IT_number 44
_space_group_name_Hall 'I 2 -2'
loop_
_atom_site_label
_atom_site_type_symbol
_atom_site_fract_x
_atom_site_fract_y
_atom_site_fract_z
Sm1 Sm 0.0000 0.0000 0.0000
Zn1 Zn 0.0000 0.0000 0.6155
Zn2 Zn 0.0000 0.5000 0.2593
Si1 Si 0.0000 0.0000 0.3879
Ir1 Ir 0.0000 0.5000 0.7621

(3)
# PBE ReBiRu2Au, relaxed
# Calculated density   11.07 g/cm3
# Crystal system   tetragonal
# E   -5.5059 eV/atom
# Formation energy from the elements   2.126 eV/atom
data_ReBiRu2Au
_cell_length_a 4.9085
_cell_length_b 4.9085
_cell_length_c 4.9455
_cell_angle_alpha 90.00
_cell_angle_beta 90.00
_cell_angle_gamma 90.00
_space_group_name_H-M_alt 'P 4/m m m'
_space_group_IT_number 123
_space_group_name_Hall '-P 4 2'
loop_
_atom_site_label
_atom_site_type_symbol
_atom_site_fract_x
_atom_site_fract_y
_atom_site_fract_z
Re1 Re 0.0000 0.0000 0.0000
Bi1 Bi 0.5000 0.5000 0.0000
Ru1 Ru 0.0000 0.5000 0.5000
Au1 Au 0.0000 0.0000 0.5000

(4)
# PBE Er3Rh, relaxed
# Calculated density   9.90 g/cm3
# Crystal system   tetragonal
# E   -5.7667 eV/atom
# Formation energy from the elements   -0.507 eV/atom
data_Er3Rh
_cell_length_a 11.5724
_cell_length_b 11.5724
_cell_length_c 6.0603
_cell_angle_alpha 90.00
_cell_angle_beta 90.00
_cell_angle_gamma 90.00
_space_group_name_H-M_alt 'I -4 2 m'
_space_group_IT_number 121
_space_group_name_Hall 'I -4 2'
loop_
_atom_site_label
_atom_site_type_symbol
_atom_site_fract_x
_atom_site_fract_y
_atom_site_fract_z
Er1 Er 0.0000 0.3576 0.0000
Er2 Er 0.0948 0.0948 0.2500
Er3 Er 0.2031 0.2031 0.6968
Rh1 Rh 0.0000 0.2937 0.5000

(5)
# PBE KRb2OsBr6, relaxed
# Calculated density   4.07 g/cm3
# Crystal system   cubic
# E   -3.4344 eV/atom
# Uncorrected formation energy   -1.004 eV per atom
data_KRb2OsBr6
_cell_length_a 11.2773
_cell_length_b 11.2773
_cell_length_c 11.2773
_cell_angle_alpha 90.00
_cell_angle_beta 90.00
_cell_angle_gamma 90.00
_space_group_name_H-M_alt 'F m -3 m'
_space_group_IT_number 225
_space_group_name_Hall '-F 4 2 3'
loop_
_atom_site_label
_atom_site_type_symbol
_atom_site_fract_x
_atom_site_fract_y
_atom_site_fract_z
K1 K 0.0000 0.0000 0.0000
Rb1 Rb 0.2500 0.2500 0.2500
Os1 Os 0.0000 0.0000 0.5000
Br1 Br 0.0000 0.0000 0.2762

(6)
# PBE VGaPt2, relaxed
# Calculated density   12.98 g/cm3
# Crystal system   trigonal
# E   -6.3885 eV/atom
# Formation energy from the elements   -0.332 eV/atom
data_VGaPt2
_cell_length_a 4.1905
_cell_length_b 4.1905
_cell_length_c 12.8876
_cell_angle_alpha 90.00
_cell_angle_beta 90.00
_cell_angle_gamma 120.00
_space_group_name_H-M_alt 'R 3 m'
_space_group_IT_number 160
_space_group_name_Hall 'R 3 -2"'
loop_
_atom_site_label
_atom_site_type_symbol
_atom_site_fract_x
_atom_site_fract_y
_atom_site_fract_z
V1 V 0.0000 0.0000 0.0000
Ga1 Ga 0.0000 0.0000 0.2062
Pt1 Pt 0.0000 0.0000 0.5839
Pt2 Pt 0.0000 0.0000 0.7898

(7)
# PBE Dy2Ho3In4, relaxed
# Calculated density   8.69 g/cm3
# Crystal system   monoclinic
# E   -4.1729 eV/atom
# Formation energy from the elements   -0.407 eV/atom
data_Dy2Ho3In4
_cell_length_a 9.1007
_cell_length_b 5.2606
_cell_length_c 10.2055
_cell_angle_alpha 90.00
_cell_angle_beta 90.08
_cell_angle_gamma 90.00
_space_group_name_H-M_alt 'C 1 2/m 1'
_space_group_IT_number 12
_space_group_name_Hall '-C 2y'
loop_
_atom_site_label
_atom_site_type_symbol
_atom_site_fract_x
_atom_site_fract_y
_atom_site_fract_z
Dy1 Dy 0.1668 0.0000 0.2765
Ho1 Ho 0.0000 0.5000 0.5000
Ho2 Ho 0.1665 0.0000 0.9254
In1 In 0.0001 0.5000 0.1547
In2 In 0.1665 0.0000 0.6006

(8)
# PBE TbEuAl, relaxed
# Calculated density   6.35 g/cm3
# Crystal system   tetragonal
# E   -6.3810 eV/atom
# Formation energy from the elements   -0.165 eV/atom
data_TbEuAl
_cell_length_a 3.7061
_cell_length_b 3.7061
_cell_length_c 12.8595
_cell_angle_alpha 90.00
_cell_angle_beta 90.00
_cell_angle_gamma 90.00
_space_group_name_H-M_alt 'I 4 m m'
_space_group_IT_number 107
_space_group_name_Hall 'I 4 -2'
loop_
_atom_site_label
_atom_site_type_symbol
_atom_site_fract_x
_atom_site_fract_y
_atom_site_fract_z
Tb1 Tb 0.0000 0.0000 0.0000
Eu1 Eu 0.0000 0.0000 0.7194
Al1 Al 0.0000 0.0000 0.3735